A geometry-optimized La2MnPbO9 structure. Source: Alexandria, functional PBE+U.

## Properties
Total magnetic moment   2.3 μB per cell
SG   No. 156
Total DFT energy (no corrections)   -83.30 eV per cell

Geometry as POSCAR:
```
La2MnPbO9
1.0
2.576 -4.462 0.000
2.576 4.462 0.000
0.000 0.000 7.278
La Mn Pb O
2 1 1 9
Cartesian
0.000 0.000 3.437 La
2.576 1.487 1.247 La
2.576 1.487 4.821 Mn
2.576 -1.487 6.666 Pb
1.343 2.199 3.569 O
1.248 -0.720 1.214 O
3.840 0.757 6.000 O
2.576 -3.021 1.214 O
2.576 2.947 6.000 O
2.576 0.063 3.569 O
3.904 -0.720 1.214 O
1.312 0.757 6.000 O
3.809 2.199 3.569 O
```